Material: Tc2Mo2O
Method: DFT, PBE with a Hubbard U
State: relaxed

Values from the calculation:
Symmetry ... I4/mmm, No. 139
Total DFT energy (no corrections) ... -6.408 eV per atom

Cell and atoms, written as POSCAR:
```
Tc2Mo2O
1.0
4.093 0.000 0.000
0.000 4.093 0.000
0.000 0.000 10.999
Tc Mo O
4 4 2
direct
0.000 0.000 0.121 Tc
0.000 0.000 0.879 Tc
0.500 0.500 0.379 Tc
0.500 0.500 0.621 Tc
0.000 0.500 0.250 Mo
0.000 0.500 0.750 Mo
0.500 0.000 0.250 Mo
0.500 0.000 0.750 Mo
0.000 0.000 0.500 O
0.500 0.500 0.000 O
```